Record 1
Material: BaScTa2Ni
Method: DFT, PBE
State: relaxed

Geometry as POSCAR:
```
BaScTa2Ni
1.0
5.1684 0.0000 0.0000
0.0000 4.7318 0.0000
0.0000 0.0000 5.1684
Sc Ni Ta Ba
1 1 2 1
Cartesian
2.5842 2.3659 2.5842
0.0000 2.3659 0.0000
2.5842 0.0000 0.0000
0.0000 0.0000 2.5842
0.0000 0.0000 0.0000
```

---

Record 2
Material: BaY2ScNi
Method: DFT, PBE
State: relaxed

Geometry as POSCAR:
```
BaY2ScNi
1.0
-4.8014 -1.5701 -2.0296
-1.9680 -0.5100 5.0502
-1.5880 5.0028 -0.1136
Ni Y Sc Ba
1 2 1 1
Cartesian
0.0000 0.0000 0.0000
-0.9840 -0.2550 2.5251
-2.4007 -0.7851 -1.0148
-0.7940 2.5014 -0.0568
-4.1787 1.4614 1.4535
```

---

no.,energy relative to the elements (eV/f.u.),volume (Å³/cell),energy (eV/atom)
1,11.4,126,-5.2629
2,-0.1,156,-5.4133